# PBE Sc3TeSe2, relaxed
data_Sc3TeSe2
_chemical_formula_sum 'Sc3 Te1 Se2'
_cell_length_a 6.893
_cell_length_b 6.893
_cell_length_c 6.893
_cell_angle_alpha 146.48
_cell_angle_beta 131.87
_cell_angle_gamma 59.93
_symmetry_space_group_name_H-M 'P 1'
_symmetry_Int_Tables_number 1
loop_
_symmetry_equiv_pos_as_xyz
'x,y,z'
loop_
_atom_site_label
_atom_site_fract_x
_atom_site_fract_y
_atom_site_fract_z
Sc1 0.000 0.000 0.000
Sc2 0.314 0.314 0.000
Sc3 0.686 0.686 0.000
Te1 0.500 0.000 0.500
Se1 0.161 0.661 0.500
Se2 0.839 0.339 0.500
# **Energy above the lowest structure with this stoichiometry**: 0.0 meV/atom
# **Raw formation energy**: -1.4070 eV/atom
# **Magnetization**: 0.0 Bohr magnetons per cell

---

# PBE Tb6Nd12Ho, relaxed
data_Tb6Nd12Ho
_chemical_formula_sum 'Tb6 Nd12 Ho1'
_cell_length_a 8.701
_cell_length_b 8.701
_cell_length_c 8.701
_cell_angle_alpha 88.99
_cell_angle_beta 88.99
_cell_angle_gamma 88.99
_symmetry_space_group_name_H-M 'P 1'
_symmetry_Int_Tables_number 1
loop_
_symmetry_equiv_pos_as_xyz
'x,y,z'
loop_
_atom_site_label
_atom_site_fract_x
_atom_site_fract_y
_atom_site_fract_z
Tb1 0.202 0.760 0.598
Tb2 0.240 0.402 0.798
Tb3 0.402 0.798 0.240
Tb4 0.598 0.202 0.760
Tb5 0.760 0.598 0.202
Tb6 0.798 0.240 0.402
Nd1 0.036 0.933 0.281
Nd2 0.067 0.719 0.964
Nd3 0.138 0.482 0.306
Nd4 0.281 0.036 0.933
Nd5 0.306 0.138 0.482
Nd6 0.482 0.306 0.138
Nd7 0.518 0.694 0.862
Nd8 0.694 0.862 0.518
Nd9 0.719 0.964 0.067
Nd10 0.862 0.518 0.694
Nd11 0.933 0.281 0.036
Nd12 0.964 0.067 0.719
Ho1 0.500 0.500 0.500
# **Energy above the lowest structure with this stoichiometry**: 0.0 meV/atom
# **Formation enthalpy at 0 K**: 0.13 eV per atom
# **Magnetization**: 0.0 Bohr magnetons per cell